## KIn2Hg (GGA-PBE)

Data for KIn2Hg after structural relaxation.

a b c (Å): 6.4601 11.3805 3.2965
angles (deg): 90.00 90.00 90.00
With the nearest neighbours (Å) after each atom.
Space group Cmmm (No. 65)
Asymmetric unit:
1 K 0.0000 0.0000 0.0000 (multiplicity 2)  2 Hg 3.23, 2 K 3.30
2 In 0.2500 0.2500 0.5000 (multiplicity 4)  4 In 3.23-3.30
3 Hg 0.0000 0.5000 0.0000 (multiplicity 2)  2 K 3.23, 2 Hg 3.30

Energy relative to the elements   19 meV per atom
Energy   -1.700 eV per atom

## KIn2Hg (GGA-PBE)

Data for KIn2Hg after structural relaxation.

a b c (Å): 5.0413 11.8043 8.0334
angles (deg): 90.00 90.00 90.00
With the nearest neighbours (Å) after each atom.
Space group Cmcm (No. 63)
Asymmetric unit:
1 K 0.0000 0.0735 0.2500 (multiplicity 4)  3 Hg 3.39-3.56, 6 In 3.58-3.78
2 In 0.0000 0.3649 0.0539 (multiplicity 8)  3 Hg 3.02-3.11, 2 In 3.15-3.31
3 Hg 0.0000 0.2138 0.7500 (multiplicity 4)  6 In 3.02-3.11

Energy relative to the elements   -143 meV per atom
Energy   -1.862 eV per atom

## K2InHg2 (GGA-PBE)

Data for K2InHg2 after structural relaxation.

a b c (Å): 4.3777 4.3777 20.1769
angles (deg): 90.00 90.00 90.00
With the nearest neighbours (Å) after each atom.
Space group I4/mmm (No. 139)
Asymmetric unit:
1 K 0.0000 0.0000 0.1077 (multiplicity 4)  4 Hg 3.61, 4 In 3.78
2 In 0.0000 0.0000 0.5000 (multiplicity 2)  8 K 3.78
3 Hg 0.0000 0.5000 0.2500 (multiplicity 4)  4 Hg 3.10

Offset from the most stable computed form   157 meV per atom
Energy relative to the elements   -60 meV per atom
Energy   -1.168 eV per atom

## K3In9Hg2 (GGA-PBE)

Data for K3In9Hg2 after structural relaxation.

a b c (Å): 5.1729 11.0748 14.6595
angles (deg): 90.00 90.00 90.00
With the nearest neighbours (Å) after each atom.
Space group Immm (No. 71)
Asymmetric unit:
1 K 0.0000 0.0000 0.0000 (multiplicity 2)  12 In 3.71-3.81
2 K 0.0000 0.0000 0.2999 (multiplicity 4)  2 Hg 3.54, 12 In 3.64-3.91
3 In 0.0000 0.2791 0.1396 (multiplicity 8)  4 In 3.04-3.19, 2 Hg 3.33
4 In 0.0000 0.3625 0.3405 (multiplicity 8)  4 In 3.04-3.09, 1 Hg 3.10
5 In 0.0000 0.5000 0.0000 (multiplicity 2)  4 In 3.19, 4 Hg 3.25
6 Hg 0.0000 0.1784 0.5000 (multiplicity 4)  8 In 3.10-3.33

Energy relative to the elements   -108 meV per atom
Energy   -2.147 eV per atom

## K2InHg (GGA-PBE)

Data for K2InHg after structural relaxation.

a b c (Å): 4.2786 4.6603 7.5244
angles (deg): 90.00 90.45 90.00
With the nearest neighbours (Å) after each atom.
Space group P2/m (No. 10)
Asymmetric unit:
1 K 0.9999 0.0000 0.2482 (multiplicity 2)  4 Hg 3.66-3.68, 4 In 3.68-3.70, 2 K 3.73-3.79
2 In 0.5000 0.5000 0.5000 (multiplicity 1)  8 K 3.68-3.70, 2 Hg 3.76
3 Hg 0.5000 0.5000 0.0000 (multiplicity 1)  8 K 3.66-3.68, 2 In 3.76

Offset from the most stable computed form   97 meV per atom
Energy relative to the elements   -59 meV per atom
Energy   -1.368 eV per atom

## K2InHg2 (GGA-PBE)

Data for K2InHg2 after structural relaxation.

a b c (Å): 10.0578 10.0578 3.5497
angles (deg): 90.00 90.00 90.00
With the nearest neighbours (Å) after each atom.
Space group P4/mbm (No. 127)
Asymmetric unit:
1 K 0.1826 0.3174 0.0000 (multiplicity 4)  6 Hg 3.43-3.52, 2 K 3.55, 2 In 3.68
2 In 0.0000 0.0000 0.0000 (multiplicity 2)  2 In 3.55, 4 K 3.68
3 Hg 0.1108 0.6108 0.5000 (multiplicity 4)  1 Hg 3.15, 6 K 3.43-3.52

Offset from the most stable computed form   160 meV per atom
Energy relative to the elements   -57 meV per atom
Energy   -1.165 eV per atom

## KInHg4 (GGA-PBE)

Data for KInHg4 after structural relaxation.

a b c (Å): 8.0794 5.1265 8.7411
angles (deg): 90.00 90.00 90.00
With the nearest neighbours (Å) after each atom.
Space group Pmma (No. 51)
Asymmetric unit:
1 K 0.2500 0.0000 0.1442 (multiplicity 2)  1 In 3.55, 8 Hg 3.56-3.71
2 In 0.2500 0.0000 0.7381 (multiplicity 2)  6 Hg 2.90-3.12
3 Hg 0.0000 0.0000 0.5000 (multiplicity 2)  2 In 2.90
4 Hg 0.0553 0.5000 0.8315 (multiplicity 4)  3 Hg 3.08-3.36, 2 In 3.12
5 Hg 0.2500 0.5000 0.4294 (multiplicity 2)  6 Hg 3.32-3.36, 2 K 3.58

Offset from the most stable computed form   0 meV per atom
Energy relative to the elements   -129 meV per atom
Energy   -0.970 eV per atom

## KIn2Hg6 (GGA-PBE)

Data for KIn2Hg6 after structural relaxation.

a b c (Å): 3.4360 9.5912 15.2335
angles (deg): 90.00 90.00 90.00
With the nearest neighbours (Å) after each atom.
Space group Immm (No. 71)
Asymmetric unit:
1 K 0.0000 0.0000 0.0000 (multiplicity 2)  2 K 3.44, 12 Hg 3.56-3.58
2 In 0.0000 0.5000 0.1453 (multiplicity 4)  6 Hg 3.15-3.27, 2 In 3.44
3 Hg 0.0000 0.1751 0.5000 (multiplicity 4)  5 Hg 3.09-3.44, 4 In 3.27
4 Hg 0.0000 0.3318 0.3228 (multiplicity 8)  6 Hg 3.09-3.44, 1 In 3.15

Offset from the most stable computed form   0 meV per atom
Energy relative to the elements   -82 meV per atom
Energy   -1.013 eV per atom